Density functional theory data (GGA+U) for a relaxed structure of KFeOF2.

Cell: 4.5611 4.5611 4.2414 Å, 90.00 90.00 90.00°
Last column: nearest neighbours and their distance in Å.
Fractional positions:
Fe  0.5000  0.5000  0.5000  8 F 3.11, 4 O 3.23
F  0.0000  0.5000  0.0000  2 K 2.28
F  0.5000  0.0000  0.0000  2 K 2.28
K  0.0000  0.0000  0.0000  2 O 2.12, 4 F 2.28
O  0.0000  0.0000  0.5000  2 K 2.12

Total energy: -17.7 eV/cell
Size of the total moment: 0.80 μB per atom